The following is a PBE calculation of a relaxed ZnCoGe2 crystal, from the Alexandria database.

Unit cell a=3.993 b=3.993 c=5.060 alpha=66.76 beta=66.76 gamma=60.00
Atoms (fractional coordinates):
Zn 0.492 0.492 0.523
Co 0.676 0.676 0.971
Ge 0.061 0.061 0.818
Ge 0.270 0.270 0.189

Computed properties:
For the volume, the calculation gives 15.55 A^3/atom.



The following is a PBE calculation of a relaxed Gd2MgIr crystal, from the Alexandria database.

Unit cell a=5.069 b=5.069 c=5.069 alpha=60.00 beta=60.00 gamma=60.00
Site moments in Bohr magnetons follow the coordinates.
Atoms (fractional coordinates):
Gd 0.250 0.250 0.250  -7.00
Gd 0.750 0.750 0.750  -7.00
Mg 0.000 0.000 0.000  0.01
Ir 0.500 0.500 0.500  0.11

Computed properties:
Its excess energy over the best structure of this formula in the dataset is 49 meV per atom. For the volume, the calculation gives 23.03 A^3/atom.



The following is a PBE calculation of a relaxed TbSmHoTh crystal, from the Alexandria database.

Unit cell a=3.600 b=3.599 c=11.704 alpha=90.00 beta=98.86 gamma=120.00
Atoms (fractional coordinates):
Tb 0.135 0.966 0.115
Sm 0.472 0.134 0.620
Ho 0.968 0.382 0.366
Th 0.303 0.549 0.868

Computed properties:
Its excess energy over the best structure of this formula in the dataset is 0 meV per atom. For the volume, the calculation gives 32.31 A^3/atom.



no.,formation enthalpy at 0 K (meV per atom),size of the total moment (μB per cell)
1,19,0.00
2,-411,14.11
3,13,0.00